A plane-wave DFT calculation with PBE was carried out for crystalline La6SbP2Se3 at its relaxed geometry.

Summary:
For the calculated volume, the calculation gives 351.9 Å³ per cell. Its symmetry is C2/m. For the uncorrected formation energy, the calculation gives -1.775 eV/atom. Its total energy is -6.35 eV/atom.

Unit cell a=9.752 b=9.752 c=8.749 alpha=102.98 beta=102.98 gamma=25.76
Sites, in units of the cell vectors:
La1 0.006 0.006 0.262
La2 0.329 0.329 0.426
La3 0.329 0.329 0.899
La4 0.671 0.671 0.101
La5 0.671 0.671 0.574
La6 0.994 0.994 0.738
Sb1 0.500 0.500 0.000
P1 0.168 0.168 0.336
P2 0.832 0.832 0.664
Se1 0.164 0.164 0.833
Se2 0.500 0.500 0.500
Se3 0.836 0.836 0.167